Computed, not measured: ZrAg2Hg after structural relaxation at the PBE-GGA level of DFT.

Values from the calculation:
- density of states at the Fermi level (states/eV per cell) = 1.8
- volume (A^3/atom) = 19.63
- ΔE_f (eV/atom) = -0.048
- total magnetization (μB per atom) = 0.0000
- calculated total energy (eV per atom) = -3.69

Unit cell a=4.8230 b=4.8229 c=4.8250 alpha=120.66 beta=120.66 gamma=88.92
Element x y z (fractional)
Zr (0.2499, 0.7500, 0.5000)
Hg (0.5000, 0.5002, 0.0000)
Ag (0.7500, 0.2500, 0.5000)
Ag (0.0001, 0.9999, 0.0000)

---

Computed, not measured: DyHo3S6 after structural relaxation at the PBE-GGA level of DFT.

Values from the calculation:
- formation energy (no corrections) (meV/atom) = -2057
- density of states at the Fermi level (states/eV per cell) = 0.0
- volume (A^3/atom) = 25.66
- total magnetization (μB per atom) = 0.0000
- relative energy among the computed polymorphs (eV/f.u.) = 0.15
- calculated total energy (eV per atom) = -6.37

Unit cell a=8.0072 b=8.0072 c=8.0072 alpha=91.07 beta=91.07 gamma=91.07
Element x y z (fractional)
S (0.3165, 0.9080, 0.0818)
S (0.1798, 0.5354, 0.4043)
S (0.8202, 0.4646, 0.5957)
S (0.9182, 0.6835, 0.0920)
S (0.6835, 0.0920, 0.9182)
S (0.0818, 0.3165, 0.9080)
S (0.4646, 0.5957, 0.8202)
S (0.4043, 0.1798, 0.5354)
S (0.5957, 0.8202, 0.4646)
S (0.9080, 0.0818, 0.3165)
S (0.5354, 0.4043, 0.1798)
S (0.0920, 0.9182, 0.6835)
Ho (0.4329, 0.9236, 0.7528)
Ho (0.0764, 0.2472, 0.5671)
Ho (0.7528, 0.4329, 0.9236)
Ho (0.9236, 0.7528, 0.4329)
Ho (0.5671, 0.0764, 0.2472)
Ho (0.2472, 0.5671, 0.0764)
Dy (0.5000, 0.5000, 0.5000)
Dy (0.0000, 0.0000, 0.0000)

---

Computed, not measured: TiAgOF2 after structural relaxation at the PBE-GGA level of DFT.

Values from the calculation:
- formation energy (no corrections) (meV/atom) = -651
- density of states at the Fermi level (states/eV per cell) = 2.1
- volume (A^3/atom) = 15.31
- total magnetization (μB per atom) = 0.4073
- relative energy among the computed polymorphs (eV/f.u.) = 7.57
- calculated total energy (eV per atom) = -4.54

Unit cell a=4.2792 b=4.2792 c=4.1792 alpha=90.00 beta=90.00 gamma=90.00
Site moments in Bohr magnetons follow the coordinates.
Element x y z (fractional)
O (0.0000, 0.0000, 0.5000)  0.04
Ti (0.5000, 0.5000, 0.5000)  -1.80
Ag (0.0000, 0.0000, 0.0000)  -0.01
F (0.0000, 0.5000, 0.0000)  -0.01
F (0.5000, 0.0000, 0.0000)  -0.01

---

Computed, not measured: Ho8MgGa2 after structural relaxation at the PBE-GGA level of DFT.

Values from the calculation:
- density of states at the Fermi level (states/eV per cell) = 9.9
- volume (A^3/atom) = 27.31
- ΔE_f (eV/atom) = -0.209
- total magnetization (μB per atom) = 0.0000
- calculated total energy (eV per atom) = -4.23

Unit cell a=5.1827 b=8.2358 c=8.3903 alpha=116.65 beta=107.99 gamma=90.00
Element x y z (fractional)
Ho (0.0637, 0.7249, 0.1273)
Ho (0.3148, 0.0409, 0.6295)
Ho (0.3955, 0.5367, 0.7909)
Ho (0.6045, 0.4633, 0.2091)
Ho (0.8514, 0.7893, 0.7028)
Ho (0.9363, 0.2751, 0.8727)
Ho (0.1486, 0.2107, 0.2972)
Ho (0.6852, 0.9591, 0.3705)
Mg (0.5000, 0.0000, 0.0000)
Ga (0.7753, 0.3694, 0.5505)
Ga (0.2247, 0.6306, 0.4495)

---

Computed, not measured: Sm4Cd5Ag after structural relaxation at the PBE-GGA level of DFT.

Values from the calculation:
- density of states at the Fermi level (states/eV per cell) = 7.6
- volume (A^3/atom) = 26.11
- ΔE_f (eV/atom) = -0.281
- total magnetization (μB per atom) = 0.0000
- relative energy among the computed polymorphs (eV/f.u.) = 0.00
- calculated total energy (eV per atom) = -2.91

Unit cell a=5.1836 b=6.6019 c=8.4055 alpha=106.53 beta=107.96 gamma=90.00
Element x y z (fractional)
Sm (0.3125, 0.6907, 0.6249)
Sm (0.6875, 0.3093, 0.3751)
Sm (0.9036, 0.1122, 0.8071)
Sm (0.0964, 0.8878, 0.1929)
Cd (0.2986, 0.1937, 0.5972)
Cd (0.5000, 0.5000, 0.0000)
Cd (0.7014, 0.8063, 0.4028)
Cd (0.9014, 0.5865, 0.8028)
Cd (0.0986, 0.4135, 0.1972)
Ag (0.5000, 0.0000, 0.0000)

---

Computed, not measured: Hf8Sn2Ru after structural relaxation at the PBE-GGA level of DFT.

Values from the calculation:
- density of states at the Fermi level (states/eV per cell) = 9.1
- volume (A^3/atom) = 21.29
- ΔE_f (eV/atom) = -0.234
- total magnetization (μB per atom) = 0.0000
- calculated total energy (eV per atom) = -9.04

Unit cell a=4.9213 b=5.7795 c=8.5974 alpha=91.72 beta=106.63 gamma=90.00
Element x y z (fractional)
Hf (0.9617, 0.7401, 0.9234)
Hf (0.6523, 0.1037, 0.3047)
Hf (0.2295, 0.3395, 0.4591)
Hf (0.5850, 0.5780, 0.1700)
Hf (0.3477, 0.8963, 0.6953)
Hf (0.4150, 0.4220, 0.8300)
Hf (0.7705, 0.6605, 0.5409)
Hf (0.0383, 0.2599, 0.0766)
Ru (0.5000, 0.0000, 0.0000)
Sn (0.8380, 0.1900, 0.6759)
Sn (0.1620, 0.8100, 0.3241)